The following is a DFT calculation (PBE) of a relaxed structure of LaAsCl2.

Summary:
**Formation energy from raw total energies**: -5.1 eV/f.u.
**Calculated volume**: 140 Å³/f.u.

Structure (POSCAR):
```
LaAsCl2
1.0
5.8894 -1.9016 0.0000
5.8894 1.9016 0.0000
-3.2133 0.0000 6.2407
La As Cl
1 1 2
Direct
0.0000 0.0000 0.0000
0.7258 0.7258 0.9992
0.3653 0.3653 0.6856
0.5340 0.5340 0.3123
```

The following is a DFT calculation (PBE) of a relaxed structure of LaAsCl.

Summary:
**Formation energy from raw total energies**: -3.4 eV/f.u.
**Calculated volume**: 108 Å³/f.u.

Structure (POSCAR):
```
LaAsCl
1.0
4.2922 0.0000 0.0000
-2.1461 3.7172 0.0000
0.0000 0.0000 6.7493
La As Cl
1 1 1
Direct
0.0000 0.0000 0.0000
0.6667 0.3333 0.2530
0.3333 0.6667 0.7674
```

The following is a DFT calculation (PBE) of a relaxed structure of LaAs2Cl.

Summary:
**Formation energy from raw total energies**: -4.4 eV/f.u.
**Calculated volume**: 90 Å³/f.u.

Structure (POSCAR):
```
LaAs2Cl
1.0
4.0147 0.0000 0.0000
0.0000 4.0147 0.0000
0.0000 0.0000 5.6101
La As Cl
1 2 1
Direct
0.0000 0.0000 0.0000
0.0000 0.5000 0.5000
0.5000 0.0000 0.5000
0.5000 0.5000 0.0000
```

The following is a DFT calculation (PBE) of a relaxed structure of La4AsCl5.

Summary:
**Formation energy from raw total energies**: -19.5 eV/f.u.
**Calculated volume**: 319 Å³/f.u.

Structure (POSCAR):
```
La4AsCl5
1.0
9.2116 -2.0984 0.0000
9.2116 2.0984 0.0000
-2.1083 0.0000 8.2598
La As Cl
4 1 5
Direct
0.9995 0.9995 0.2354
0.0005 0.0005 0.7646
0.3407 0.3407 0.9066
0.6593 0.6593 0.0934
0.5000 0.5000 0.0000
0.1658 0.1658 0.3322
0.1704 0.1704 0.8503
0.5000 0.5000 0.5000
0.8296 0.8296 0.1497
0.8342 0.8342 0.6678
```

The following is a DFT calculation (PBE) of a relaxed structure of LaAsCl2.

Summary:
**Formation energy from raw total energies**: -3.6 eV/f.u.
**Calculated volume**: 128 Å³/f.u.

Structure (POSCAR):
```
LaAsCl2
1.0
1.8391 1.0618 10.9616
-1.8391 1.0618 10.9616
0.0000 -2.1237 10.9616
La As Cl
1 1 2
Direct
0.0000 0.0000 0.0000
0.5000 0.5000 0.5000
0.2751 0.2751 0.2751
0.7249 0.7249 0.7249
```

The following is a DFT calculation (PBE) of a relaxed structure of La3AsCl.

Summary:
**Formation energy from raw total energies**: -3.4 eV/f.u.
**Calculated volume**: 152 Å³/f.u.

Structure (POSCAR):
```
La3AsCl
1.0
5.3414 0.0000 0.0000
0.0000 5.3414 0.0000
0.0000 0.0000 5.3414
La As Cl
3 1 1
Direct
0.0000 0.0000 0.5000
0.0000 0.5000 0.0000
0.5000 0.0000 0.0000
0.5000 0.5000 0.5000
0.0000 0.0000 0.0000
```

The following is a DFT calculation (PBE) of a relaxed structure of LaAsCl2.

Summary:
**Formation energy from raw total energies**: -4.8 eV/f.u.
**Calculated volume**: 106 Å³/f.u.

Structure (POSCAR):
```
LaAsCl2
1.0
3.2027 -3.3626 0.0000
3.2027 3.3626 0.0000
0.0000 0.0000 4.9433
La As Cl
1 1 2
Direct
0.0000 0.0000 0.0000
0.5000 0.5000 0.0000
0.2442 0.2442 0.5000
0.7558 0.7558 0.5000
```

The following is a DFT calculation (PBE) of a relaxed structure of LaAs2Cl.

Summary:
**Formation energy from raw total energies**: -4.4 eV/f.u.
**Calculated volume**: 135 Å³/f.u.

Structure (POSCAR):
```
LaAs2Cl
1.0
4.7968 0.0000 0.0000
0.0000 3.8400 0.0000
-0.3966 0.0000 7.3247
La As Cl
1 2 1
Direct
0.0000 0.0000 0.0000
0.5073 0.5000 0.0888
0.5280 0.0000 0.3061
0.9767 0.5000 0.7160
```

Number 1: energy above the most stable polymorph in this dataset 174.9 meV per atom. Number 2: energy above the most stable polymorph in this dataset 528.1 meV per atom. Number 3: energy above the most stable polymorph in this dataset 81.0 meV per atom. Number 4: energy above the most stable polymorph in this dataset 0.0 meV per atom. Number 5: energy above the most stable polymorph in this dataset 543.0 meV per atom. Number 6: energy above the most stable polymorph in this dataset 0.0 meV per atom. Number 7: energy above the most stable polymorph in this dataset 242.3 meV per atom. Number 8: energy above the most stable polymorph in this dataset 67.2 meV per atom.